#A
A relaxed MnAlVFeMo crystal, computed with PBE.

Unit cell a=4.106 b=4.106 c=13.037 alpha=90.00 beta=90.00 gamma=120.00
Atoms (fractional coordinates):
Fe 0.000 0.000 0.605
Al 0.333 0.667 0.672
Al 0.000 0.000 0.005
Mo 0.333 0.667 0.878
Al 0.667 0.333 0.338
Fe 0.667 0.333 0.938
Mn 0.333 0.667 0.075
V 0.333 0.667 0.462
V 0.000 0.000 0.796
Mo 0.000 0.000 0.211
Mn 0.667 0.333 0.741
Mo 0.667 0.333 0.544
Fe 0.333 0.667 0.271
V 0.667 0.333 0.129
Mn 0.000 0.000 0.408

- SG: R3m
- Calculated density: 7.45 Mg/m³
- Total moment: 0.000 μB per atom
- Crystal system: trigonal

#B
A relaxed MnAlVFeMo crystal, computed with PBE.

Unit cell a=4.911 b=4.162 c=8.177 alpha=90.00 beta=125.88 gamma=90.00
Atoms (fractional coordinates):
Fe 0.728 0.000 0.352
Al 0.014 0.000 0.872
V 0.717 0.000 0.073
Al 0.014 0.500 0.372
V 0.717 0.500 0.573
Fe 0.728 0.500 0.852
Mo 0.296 0.000 0.661
Mo 0.296 0.500 0.161
Mn 0.269 0.500 0.840
Mn 0.269 0.000 0.340

- SG: Cm
- Calculated density: 6.98 Mg/m³
- Total moment: 0.155 μB per atom
- Crystal system: monoclinic

Which one is the least stable? From the structures above, #B.